This record from the Alexandria database describes an optimized crystal structure of NiO2F4. The functional is PBE+U.

Output
Crystal system = orthorhombic
Uncorrected energy = -21.122 eV/f.u.

Lattice parameters (Å, degrees): 3.116 4.410 6.791 108.95 90.00 90.00
Each line ends with the local moment (μB).
Atoms (fractional coordinates):
Ni 0.000 0.500 0.000  1.86
F 0.000 0.089 0.179  0.59
F 0.500 0.599 0.197  0.21
F 0.500 0.401 0.803  0.21
F 0.000 0.911 0.821  0.59
O 0.500 0.188 0.375  1.84
O 0.500 0.812 0.625  1.84